A geometry-optimized ScPt4 structure, computed with PBE-GGA.

Structure (POSCAR):
```
ScPt4
1.0
-2.913 2.913 2.913
2.913 -2.913 2.913
2.913 2.913 -2.913
Sc Pt
1 4
Cartesian
0.000 0.000 0.000
1.457 1.457 -1.457
1.457 -1.457 1.457
-1.457 1.457 1.457
1.457 1.457 1.457
```

Values from the calculation:
Space-group type: Im-3m, No. 229
M_tot: 0.0 μB per cell
Calculated formation energy: 0.12 eV per atom
Excess energy over the best structure of this formula in the dataset: 919 meV per atom
V: 19.8 Å³/atom
DOS at the Fermi energy: 0.7453 states/eV/atom

A geometry-optimized ScPt5 structure, computed with PBE-GGA.

Structure (POSCAR):
```
ScPt5
1.0
2.838 0.000 0.000
0.000 2.838 0.000
0.000 0.000 12.050
Sc Pt
1 5
Cartesian
0.000 0.000 0.000
0.000 0.000 4.053
0.000 0.000 7.997
1.419 1.419 1.968
1.419 1.419 6.025
1.419 1.419 10.082
```

Values from the calculation:
Space-group type: P4/mmm, No. 123
M_tot: 0.0 μB per cell
Calculated formation energy: -0.43 eV per atom
V: 16.2 Å³/atom
DOS at the Fermi energy: 1.4496 states/eV/atom

A geometry-optimized Sc4Pt3 structure, computed with PBE-GGA.

Structure (POSCAR):
```
Sc4Pt3
1.0
6.151 3.552 2.019
-6.151 3.552 2.019
0.000 -7.103 2.019
Sc Pt
8 6
Cartesian
0.000 0.000 0.000
-4.233 -1.421 3.021
-0.886 -4.376 3.036
-3.347 2.955 3.036
0.000 0.000 3.029
3.347 -2.955 3.021
0.886 4.376 3.021
4.233 1.421 3.036
-2.456 0.484 1.691
0.809 -2.369 1.691
-1.647 -1.885 4.366
1.647 1.885 1.691
-0.809 2.369 4.366
2.456 -0.484 4.366
```

Values from the calculation:
Space-group type: R-3, No. 148
M_tot: 0.0 μB per cell
Calculated formation energy: -1.09 eV per atom
Excess energy over the best structure of this formula in the dataset: 29 meV per atom
V: 18.9 Å³/atom
DOS at the Fermi energy: 0.5499 states/eV/atom

A geometry-optimized ScPt2 structure, computed with PBE-GGA.

Structure (POSCAR):
```
ScPt2
1.0
-2.669 2.669 3.967
2.669 -2.669 3.967
2.669 2.669 -3.967
Sc Pt
2 4
Cartesian
0.000 0.000 1.984
0.000 0.000 5.951
3.621 0.951 0.000
0.951 1.718 0.000
1.718 0.951 3.967
-0.951 1.718 3.967
```

Values from the calculation:
Space-group type: I4/mcm, No. 140
M_tot: 0.0 μB per cell
Calculated formation energy: -0.90 eV per atom
V: 18.8 Å³/atom
DOS at the Fermi energy: 0.8430 states/eV/atom

> DOS at the Fermi energy of number 3 (Sc4Pt3)?

0.5499 states/eV/atom

> Among the records above, which one has the lowest DOS at the Fermi energy?

Sc4Pt3

> DOS at the Fermi energy of number 4 (ScPt2)?

0.8430 states/eV/atom

> Which formula does entry 2 have?

ScPt5